# 1
DFT (PBE) results for FeTcW after structural relaxation.

Cell and atoms, written as POSCAR:
```
FeTcW
1.0
-0.342 -2.271 -3.681
3.661 2.151 0.890
0.958 -2.139 1.231
Fe Tc W
1 1 1
Cartesian
0.953 -2.128 1.224
1.321 -1.532 -1.735
2.961 -0.738 0.180
```

For the calculated volume, the calculation gives 14.385 Å³/atom. Its energy above the lowest structure with this stoichiometry is 17 meV/atom. The value obtained for the formation energy is 0.09 eV per atom. Its calculated density is 13.0 g cm⁻³. The space group is P3m1 (156). As for the magnetic moment: 2.7 μB/f.u.

# 2
DFT (PBE) results for SiSbTe2W after structural relaxation.

Cell and atoms, written as POSCAR:
```
SiSbTe2W
1.0
-3.991 -1.112 -3.012
1.005 -4.996 0.513
-3.026 -0.190 4.081
Sb Si Te W
1 1 2 1
Cartesian
-1.513 -0.095 2.040
0.000 0.000 0.000
0.502 -2.498 0.256
-1.996 -0.556 -1.506
-3.007 -3.149 0.791
```

For the calculated volume, the calculation gives 26.676 Å³/atom. For the energy relative to the elements, uncorrected, the calculation gives 1.3844 eV/atom. Its energy above the lowest structure with this stoichiometry is 384 meV/atom. Its calculated density is 7.3 g cm⁻³. The space group is P4/mmm (123). As for the magnetic moment: 2.7 μB/f.u.

# 3
DFT (PBE) results for Tl2FeAs after structural relaxation.

Cell and atoms, written as POSCAR:
```
Tl2FeAs
1.0
5.564 0.002 0.041
1.917 5.223 -0.041
-3.265 -3.293 3.074
As Fe Tl
1 1 2
Cartesian
1.196 2.271 1.517
3.019 -0.339 1.558
7.377 5.153 0.000
3.844 2.685 0.000
```

For the calculated volume, the calculation gives 22.255 Å³/atom. Its energy above the lowest structure with this stoichiometry is 452 meV/atom. The value obtained for the formation energy is 0.61 eV per atom. Its calculated density is 10.1 g cm⁻³. The space group is Immm (71). As for the magnetic moment: 2.9 μB/f.u.